YWCl2: relaxed, PBE.

Geometry as extended XYZ:
```
4
Lattice="3.832 0.000 0.000 0.000 4.203 0.000 -0.122 0.000 4.992" Properties=species:S:1:pos:R:3 pbc="T T T"
Y 0.000 0.000 0.000
W 1.855 0.000 2.496
Cl 1.031 2.102 3.609
Cl 2.679 2.102 1.384
```

Properties
For the raw formation energy, the calculation gives -0.09 eV/atom. The offset from the most stable computed form is 0.453 eV per atom. The density of states at the Fermi level is 1.95 states/eV/cell. The calculation puts the calculated volume at 80.4 Å³/f.u.



Y3WCl: relaxed, PBE.

Geometry as extended XYZ:
```
5
Lattice="5.510 0.000 0.000 0.000 5.510 0.000 0.000 0.000 5.510" Properties=species:S:1:pos:R:3 pbc="T T T"
Y 0.000 0.000 2.755
Y 0.000 2.755 0.000
Y 2.755 0.000 0.000
W 0.000 0.000 0.000
Cl 2.755 2.755 2.755
```

Properties
For the raw formation energy, the calculation gives 0.39 eV/atom. The offset from the most stable computed form is 0.146 eV per atom. The density of states at the Fermi level is 9.39 states/eV/cell. The calculation puts the calculated volume at 167.3 Å³/f.u.



YWCl: relaxed, PBE.

Geometry as extended XYZ:
```
3
Lattice="3.263 0.000 0.000 -1.632 2.826 0.000 0.000 0.000 7.952" Properties=species:S:1:pos:R:3 pbc="T T T"
Y 0.000 0.000 0.000
W 0.000 1.884 5.621
Cl 1.632 0.942 1.952
```

Properties
For the raw formation energy, the calculation gives 0.20 eV/atom. The offset from the most stable computed form is 0.034 eV per atom. The density of states at the Fermi level is 2.98 states/eV/cell. The calculation puts the calculated volume at 73.3 Å³/f.u.



YWCl2: relaxed, PBE.

Geometry as extended XYZ:
```
8
Lattice="13.440 0.000 0.000 0.000 3.268 0.000 -0.103 0.000 5.018" Properties=species:S:1:pos:R:3 pbc="T T T"
Y 0.000 0.000 0.000
Y 6.720 1.634 0.000
W -0.052 1.634 2.509
W 6.668 0.000 2.509
Cl 1.948 1.634 1.167
Cl 4.668 0.000 3.852
Cl 8.668 0.000 1.167
Cl 11.388 1.634 3.852
```

Properties
For the raw formation energy, the calculation gives -0.28 eV/atom. The offset from the most stable computed form is 0.268 eV per atom. The density of states at the Fermi level is 8.17 states/eV/cell. The calculation puts the calculated volume at 110.2 Å³/f.u.



YW2Cl: relaxed, PBE.

Geometry as extended XYZ:
```
8
Lattice="3.207 0.000 0.000 0.000 3.315 0.000 0.000 0.000 15.364" Properties=species:S:1:pos:R:3 pbc="T T T"
Y 0.000 0.000 0.000
Y 0.000 1.658 7.682
W 0.000 0.000 3.350
W 0.000 1.658 11.032
W 1.604 0.000 9.744
W 1.604 1.658 2.063
Cl 1.604 0.000 5.644
Cl 1.604 1.658 13.326
```

Properties
For the raw formation energy, the calculation gives -0.06 eV/atom. The offset from the most stable computed form is 0.000 eV per atom. The density of states at the Fermi level is 6.51 states/eV/cell. The calculation puts the calculated volume at 81.7 Å³/f.u.



YWCl2: relaxed, PBE.

Geometry as extended XYZ:
```
8
Lattice="3.893 0.000 0.000 0.000 3.893 0.000 0.000 0.000 10.841" Properties=species:S:1:pos:R:3 pbc="T T T"
Y 0.000 0.000 0.000
Y 1.946 1.946 5.421
W 0.000 1.946 2.710
W 1.946 0.000 8.131
Cl 0.000 0.000 5.421
Cl 0.000 1.946 8.131
Cl 1.946 0.000 2.710
Cl 1.946 1.946 0.000
```

Properties
For the raw formation energy, the calculation gives 0.28 eV/atom. The offset from the most stable computed form is 0.831 eV per atom. The density of states at the Fermi level is 6.75 states/eV/cell. The calculation puts the calculated volume at 82.1 Å³/f.u.



YWCl2: relaxed, PBE.

Geometry as extended XYZ:
```
4
Lattice="3.042 0.000 0.000 0.000 4.507 0.000 0.000 0.000 5.964" Properties=species:S:1:pos:R:3 pbc="T T T"
Y 0.000 0.000 0.000
W 1.521 0.000 2.982
Cl 0.000 2.253 2.982
Cl 1.521 2.253 0.000
```

Properties
For the raw formation energy, the calculation gives -0.02 eV/atom. The offset from the most stable computed form is 0.528 eV per atom. The density of states at the Fermi level is 3.26 states/eV/cell. The calculation puts the calculated volume at 81.8 Å³/f.u.



YW2Cl: relaxed, PBE.

Geometry as extended XYZ:
```
8
Lattice="3.265 0.000 0.000 0.000 4.829 0.000 0.000 0.000 9.488" Properties=species:S:1:pos:R:3 pbc="T T T"
Y 0.000 0.000 0.000
Y 1.632 2.414 0.000
W 0.000 2.414 2.551
W 0.000 2.414 6.937
W 1.632 0.000 2.551
W 1.632 0.000 6.937
Cl 0.000 0.000 4.744
Cl 1.632 2.414 4.744
```

Properties
For the raw formation energy, the calculation gives 0.89 eV/atom. The offset from the most stable computed form is 0.946 eV per atom. The density of states at the Fermi level is 7.20 states/eV/cell. The calculation puts the calculated volume at 74.8 Å³/f.u.



YWCl2: relaxed, PBE.

Geometry as extended XYZ:
```
4
Lattice="4.702 0.000 0.000 0.000 3.145 0.000 -2.062 0.000 5.133" Properties=species:S:1:pos:R:3 pbc="T T T"
Y 0.000 0.000 0.000
W -1.031 1.572 2.566
Cl 1.320 0.000 2.566
Cl 2.351 1.572 0.000
```

Properties
For the raw formation energy, the calculation gives -0.03 eV/atom. The offset from the most stable computed form is 0.520 eV per atom. The density of states at the Fermi level is 3.64 states/eV/cell. The calculation puts the calculated volume at 75.9 Å³/f.u.



YWCl: relaxed, PBE.

Geometry as extended XYZ:
```
12
Lattice="6.988 0.000 0.000 0.000 6.988 0.000 0.000 0.000 6.988" Properties=species:S:1:pos:R:3 pbc="T T T"
Y 0.000 0.000 0.000
Y 0.000 3.494 3.494
Y 3.494 0.000 3.494
Y 3.494 3.494 0.000
W 1.747 1.747 5.241
W 1.747 5.241 1.747
W 5.241 1.747 1.747
W 5.241 5.241 5.241
Cl 1.747 1.747 1.747
Cl 1.747 5.241 5.241
Cl 5.241 1.747 5.241
Cl 5.241 5.241 1.747
```

Properties
For the raw formation energy, the calculation gives 1.26 eV/atom. The offset from the most stable computed form is 1.097 eV per atom. The density of states at the Fermi level is 6.93 states/eV/cell. The calculation puts the calculated volume at 85.3 Å³/f.u.



YW2Cl: relaxed, PBE.

Geometry as extended XYZ:
```
8
Lattice="12.017 0.000 0.000 0.000 3.324 0.000 -1.270 0.000 3.913" Properties=species:S:1:pos:R:3 pbc="T T T"
Y 0.000 0.000 0.000
Y 6.009 1.662 0.000
W 1.729 1.662 2.943
W 3.010 0.000 0.969
W 7.738 0.000 2.943
W 9.018 1.662 0.969
Cl -0.635 1.662 1.956
Cl 5.374 0.000 1.956
```

Properties
For the raw formation energy, the calculation gives 0.19 eV/atom. The offset from the most stable computed form is 0.254 eV per atom. The density of states at the Fermi level is 4.30 states/eV/cell. The calculation puts the calculated volume at 78.1 Å³/f.u.



YW2Cl: relaxed, PBE.

Geometry as extended XYZ:
```
8
Lattice="3.121 0.000 0.000 0.000 4.295 0.000 0.000 0.000 12.293" Properties=species:S:1:pos:R:3 pbc="T T T"
Y 0.000 0.000 0.000
Y 1.560 2.147 6.147
W 0.000 2.147 3.233
W 0.000 2.147 9.060
W 1.560 0.000 2.914
W 1.560 0.000 9.379
Cl 0.000 0.000 6.147
Cl 1.560 2.147 0.000
```

Properties
For the raw formation energy, the calculation gives 0.32 eV/atom. The offset from the most stable computed form is 0.380 eV per atom. The density of states at the Fermi level is 7.44 states/eV/cell. The calculation puts the calculated volume at 82.4 Å³/f.u.



YWCl2: relaxed, PBE.

Geometry as extended XYZ:
```
8
Lattice="3.147 0.000 0.000 0.000 4.775 0.000 0.000 0.000 10.386" Properties=species:S:1:pos:R:3 pbc="T T T"
Y 0.000 0.000 0.000
Y 1.574 2.388 5.193
W 0.000 2.388 2.464
W 1.574 0.000 7.657
Cl 0.000 0.000 5.560
Cl 0.000 2.388 7.656
Cl 1.574 0.000 2.463
Cl 1.574 2.388 0.367
```

Properties
For the raw formation energy, the calculation gives 0.04 eV/atom. The offset from the most stable computed form is 0.588 eV per atom. The density of states at the Fermi level is 4.50 states/eV/cell. The calculation puts the calculated volume at 78.1 Å³/f.u.



YW2Cl: relaxed, PBE.

Geometry as extended XYZ:
```
4
Lattice="3.277 0.000 0.000 0.000 3.277 0.000 0.000 0.000 8.797" Properties=species:S:1:pos:R:3 pbc="T T T"
Y 0.000 0.000 0.000
W 0.000 0.000 5.435
W 1.638 1.638 6.621
Cl 1.638 1.638 1.780
```

Properties
For the raw formation energy, the calculation gives -0.01 eV/atom. The offset from the most stable computed form is 0.055 eV per atom. The density of states at the Fermi level is 5.10 states/eV/cell. The calculation puts the calculated volume at 94.5 Å³/f.u.



YWCl2: relaxed, PBE.

Geometry as extended XYZ:
```
4
Lattice="3.143 0.000 0.000 0.000 3.143 0.000 0.000 0.000 9.310" Properties=species:S:1:pos:R:3 pbc="T T T"
Y 0.000 0.000 0.000
W 1.572 1.572 7.046
Cl 0.000 0.000 5.475
Cl 1.572 1.572 1.766
```

Properties
For the raw formation energy, the calculation gives -0.39 eV/atom. The offset from the most stable computed form is 0.153 eV per atom. The density of states at the Fermi level is 3.35 states/eV/cell. The calculation puts the calculated volume at 92.0 Å³/f.u.